DyY3Tl: relaxed, GGA-PBE.

## Properties
- Total energy: -0.395 Ry per atom
- Density: 6.8 Mg/m³
- DFT formation energy: -0.11 eV per atom

Lattice parameters (Å, degrees): 6.6933 6.6943 8.1663 76.77 69.40 65.39
Space group P-1 (No. 2)
Unique sites:
Dy: 0.0100 0.1018 0.2767
Y: 0.0864 0.6004 0.1256
Y: 0.4126 0.8997 0.8747
Y: 0.4904 0.3979 0.7238
Tl: 0.2504 0.2500 0.5000



NbSnHgS2: relaxed, GGA-PBE.

## Properties
- Total energy: -0.265 Ry per atom
- Density: 5.7 Mg/m³
- Raw formation energy: 0.924 eV per atom

Lattice parameters (Å, degrees): 5.0095 5.0095 5.5751 90.00 90.00 90.00
Space group P4/mmm (No. 123)
Unique sites:
Nb: 0.0000 0.0000 0.0000
Sn: 0.0000 0.0000 0.5000
Hg: 0.5000 0.5000 0.0000
S: 0.0000 0.5000 0.5000



PmGe2Pd7Pb2: relaxed, GGA-PBE.

## Properties
- Total energy: -0.386 Ry per atom
- Density: 10.1 Mg/m³
- DFT formation energy: -0.43 eV per atom

Lattice parameters (Å, degrees): 5.8466 5.7793 14.2915 90.00 98.08 90.00
Space group C2/m (No. 12)
Unique sites:
Pm: 0.0000 0.0000 0.0000
Ge: 0.0884 0.5000 0.2533
Pd: 0.0000 0.5000 0.0000
Pd: 0.1306 0.5000 0.4275
Pd: 0.1960 0.2503 0.8459
Pb: 0.1099 0.0000 0.3813